Record 1
Density functional theory data (PBE) for Li6ZnGa5 after structural relaxation.

Computed properties:
Total energy (eV/atom): -2.579
Symmetry: C2/m

Structure (extended XYZ):
```
12
Lattice="3.793 0.001 -1.060 -2.613 6.578 -2.061 0.023 0.407 7.360" Properties=species:S:1:pos:R:3 pbc="T T T"
Zn 0.000 0.000 0.000
Ga 1.488 1.418 5.289
Ga -0.849 2.449 4.242
Ga 0.601 3.493 2.120
Ga -1.740 4.535 1.057
Ga -0.285 5.569 -1.049
Li 0.743 0.726 2.643
Li 1.342 4.196 4.748
Li 2.201 1.766 0.541
Li -0.998 5.221 3.698
Li -0.139 2.790 -0.509
Li 0.460 6.261 1.597
```

Record 2
Density functional theory data (PBE) for Li3ZnGa3 after structural relaxation.

Computed properties:
Excess energy over the best structure of this formula in the dataset (meV per atom): 0
Total energy (eV/atom): -2.507
Symmetry: Pnma

Structure (extended XYZ):
```
28
Lattice="4.121 0.000 0.000 0.000 11.125 0.000 0.000 0.000 10.202" Properties=species:S:1:pos:R:3 pbc="T T T"
Li 3.091 8.150 7.966
Li 1.030 8.538 2.865
Li 1.030 2.975 2.236
Li 3.091 2.587 7.337
Li 3.091 2.038 0.224
Li 1.030 3.524 5.325
Li 1.030 9.087 9.978
Li 3.091 7.601 4.877
Li 3.091 10.762 6.902
Li 1.030 5.926 1.801
Li 1.030 0.363 3.300
Li 3.091 5.199 8.401
Zn 3.091 10.083 1.746
Zn 1.030 6.604 6.847
Zn 1.030 1.042 8.457
Zn 3.091 4.521 3.355
Ga 3.091 10.649 9.413
Ga 1.030 6.039 4.312
Ga 1.030 0.476 0.789
Ga 3.091 5.087 5.890
Ga 3.091 10.171 4.346
Ga 1.030 6.516 9.447
Ga 1.030 0.954 5.856
Ga 3.091 4.609 0.755
Ga 3.091 7.507 0.638
Ga 1.030 9.181 5.739
Ga 1.030 3.618 9.564
Ga 3.091 1.944 4.463
```

Record 3
Density functional theory data (PBE) for LiZn12Ga6 after structural relaxation.

Computed properties:
Excess energy over the best structure of this formula in the dataset (meV per atom): 0
Total energy (eV/atom): -1.852
Symmetry: R-3

Structure (extended XYZ):
```
19
Lattice="6.829 0.170 -1.892 -2.528 6.346 -1.892 0.112 0.170 7.085" Properties=species:S:1:pos:R:3 pbc="T T T"
Li 0.000 0.000 0.000
Zn 2.478 1.659 3.604
Zn -0.109 4.474 1.361
Zn 3.613 2.931 -0.488
Zn 1.934 5.026 -0.302
Zn 4.521 2.211 1.941
Zn 0.800 3.754 3.790
Zn 0.035 1.041 4.566
Zn -0.234 6.244 3.685
Zn 5.181 2.239 4.556
Zn 4.377 5.644 -1.265
Zn 4.647 0.442 -0.383
Zn -0.769 4.446 -1.255
Ga -0.040 1.898 2.011
Ga 3.422 4.176 3.907
Ga 1.987 5.976 2.180
Ga 4.452 4.788 1.291
Ga 0.991 2.510 -0.605
Ga 2.426 0.710 1.121
```

Record 4
Density functional theory data (PBE) for LiZn8Ga6 after structural relaxation.

Computed properties:
Total energy (eV/atom): -1.965
Symmetry: R-3

Structure (extended XYZ):
```
15
Lattice="6.414 0.505 0.522 0.305 6.426 0.522 0.305 0.314 6.440" Properties=species:S:1:pos:R:3 pbc="T T T"
Li 0.000 0.000 0.000
Zn 5.551 5.727 5.915
Zn 1.472 1.519 1.568
Zn 4.211 6.346 1.817
Zn 6.212 1.675 4.463
Zn 1.480 4.259 6.402
Zn 2.812 0.899 5.665
Zn 0.811 5.571 3.020
Zn 5.543 2.987 1.081
Ga 4.075 3.227 5.646
Ga 3.098 5.509 4.354
Ga 5.410 4.246 3.407
Ga 2.948 4.019 1.837
Ga 3.925 1.737 3.129
Ga 1.614 3.000 4.076
```

Record order is preserved below.
DFT formation energy: -255.2 -207.8 9.2 52.3 meV per atom